! Cs3MgHg6, optimized geometry, DFT PBE; values from VASP
! formation enthalpy at 0 K: -4.428 kcal/mol of atoms
! Fermi-level density of states: 6.66 states/eV per cell
! symmetry: No. 160
! total DFT energy (no corrections): -0.79 eV per atom
&SYSTEM
  ibrav = 0, nat = 10, ntyp = 3
/
ATOMIC_SPECIES
Hg 200.59 Hg.upf
Cs 132.91 Cs.upf
Mg 24.30 Mg.upf
CELL_PARAMETERS angstrom
0.8361 -5.3584 -3.8343
-2.3037 -3.2190 7.8312
-6.3471 4.5867 -3.9590
ATOMIC_POSITIONS crystal
Hg 0.9080 0.0000 0.7544
Cs 0.3154 0.5014 0.0000
Hg 0.4716 0.7457 0.7457
Cs 0.3154 0.0000 0.5014
Mg 0.3230 0.0000 0.0000
Hg 0.9080 0.7544 0.0000
Cs 0.8141 0.4986 0.4986
Hg 0.7259 0.0000 0.2543
Hg 0.7259 0.2543 0.0000
Hg 0.1536 0.2456 0.2456

=====

! CsMgHg3, optimized geometry, DFT PBE; values from VASP
! formation enthalpy at 0 K: -3.534 kcal/mol of atoms
! Fermi-level density of states: 3.46 states/eV per cell
! symmetry: No. 221
! offset from the most stable computed form: 36 meV per atom
! total DFT energy (no corrections): -0.82 eV per atom
&SYSTEM
  ibrav = 0, nat = 5, ntyp = 3
/
ATOMIC_SPECIES
Hg 200.59 Hg.upf
Cs 132.91 Cs.upf
Mg 24.30 Mg.upf
CELL_PARAMETERS angstrom
5.7339 0.0000 0.0000
0.0000 5.7339 0.0000
0.0000 0.0000 5.7339
ATOMIC_POSITIONS crystal
Hg 0.0000 0.5000 0.0000
Hg 0.0000 0.0000 0.5000
Hg 0.5000 0.0000 0.0000
Cs 0.5000 0.5000 0.5000
Mg 0.0000 0.0000 0.0000